DFT (PBE) results for an optimized crystal structure of AlAgHg2.

The space group is F-43m (No. 216) and the conventional cell measures 6.9745, 6.9745 and 6.9745 Å, with angles of 90.00, 90.00 and 90.00 degrees. The asymmetric unit holds Al at (0.0000, 0.0000, 0.0000), Ag at (0.2500, 0.2500, 0.2500), Hg at (0.0000, 0.0000, 0.5000) and Hg at (0.2500, 0.2500, 0.7500).

The calculation puts the total energy at -1.5760 eV per atom.

---

DFT (PBE) results for an optimized crystal structure of AlAgHg2.

The space group is R-3m (No. 166, hexagonal axes) and the conventional cell measures 3.1188, 3.1188 and 29.3084 Å, with angles of 90.00, 90.00 and 120.00 degrees. The asymmetric unit holds Al at (0.0000, 0.0000, 0.0000), Ag at (0.0000, 0.0000, 0.5000) and Hg at (0.0000, 0.0000, 0.2495).

The calculation puts the total energy at -1.6880 eV per atom.

---

DFT (PBE) results for an optimized crystal structure of Al2AgHg.

The space group is P4/mmm (No. 123) and the conventional cell measures 3.0447, 3.0447 and 8.1152 Å, with angles of 90.00, 90.00 and 90.00 degrees. The asymmetric unit holds Al at (0.0000, 0.0000, 0.2269), Ag at (0.5000, 0.5000, 0.0000) and Hg at (0.5000, 0.5000, 0.5000).

The calculation puts the total energy at -2.5439 eV per atom.

---

DFT (PBE) results for an optimized crystal structure of Al2AgHg.

The space group is Imm2 (No. 44) and the conventional cell measures 2.8825, 5.0344 and 10.5409 Å, with angles of 90.00, 90.00 and 90.00 degrees. The asymmetric unit holds Al at (0.0000, 0.0000, 0.0000), Al at (0.0000, 0.5000, 0.2670), Ag at (0.0000, 0.0000, 0.5424) and Hg at (0.0000, 0.5000, 0.7770).

The calculation puts the total energy at -2.5297 eV per atom.

---

DFT (PBE) results for an optimized crystal structure of AlAgHg2.

The space group is Cmm2 (No. 35) and the conventional cell measures 4.4521, 4.5133 and 8.3726 Å, with angles of 90.00, 90.00 and 90.00 degrees. The asymmetric unit holds Al at (0.0000, 0.0000, 0.0000), Ag at (0.0000, 0.5000, 0.1945), Hg at (0.0000, 0.0000, 0.4535) and Hg at (0.0000, 0.5000, 0.7557).

The calculation puts the total energy at -1.6995 eV per atom.

---

DFT (PBE) results for an optimized crystal structure of Al2AgHg2.

The space group is P4/mbm (No. 127) and the conventional cell measures 6.9645, 6.9645 and 4.2504 Å, with angles of 90.00, 90.00 and 90.00 degrees. The asymmetric unit holds Al at (0.1379, 0.3621, 0.0000), Ag at (0.0000, 0.0000, 0.0000) and Hg at (0.1729, 0.6729, 0.5000).

The calculation puts the total energy at -2.0604 eV per atom. The energy above the most stable polymorph in this dataset comes out at 0.000 eV/atom.

---

DFT (PBE) results for an optimized crystal structure of Al2Ag2Hg.

The space group is P4/mbm (No. 127) and the conventional cell measures 8.1924, 8.1924 and 2.8391 Å, with angles of 90.00, 90.00 and 90.00 degrees. The asymmetric unit holds Al at (0.1716, 0.3284, 0.0000), Ag at (0.1273, 0.6273, 0.5000) and Hg at (0.0000, 0.0000, 0.5000).

The calculation puts the total energy at -2.6229 eV per atom. The energy above the most stable polymorph in this dataset comes out at 0.036 eV/atom.

---

DFT (PBE) results for an optimized crystal structure of AlAg2Hg.

The space group is I-42d (No. 122) and the conventional cell measures 7.6994, 7.6994 and 5.5829 Å, with angles of 90.00, 90.00 and 90.00 degrees. The asymmetric unit holds Al at (0.0000, 0.0000, 0.0000), Ag at (0.2175, 0.2500, 0.1250) and Hg at (0.0000, 0.0000, 0.5000).

The calculation puts the total energy at -2.2382 eV per atom. The energy above the most stable polymorph in this dataset comes out at 0.176 eV/atom.

---

Formation energy per entry: 5.15; 2.57; 2.67; 3.00; 2.30; 2.94; 1.73; 4.58 kcal/mol of atoms
Spin magnetization per entry: 0.000; 0.000; 0.000; 0.000; 0.000; 0.000; 0.000; 0.000 μB per formula unit